Entry 1:
DFT (PBE) results for a relaxed structure of BaZrAl4.

Cell and atoms, written as extended XYZ:
```
6
Lattice="0.0000 4.0070 4.0070 4.0070 0.0000 4.0070 4.0070 4.0070 0.0000" Properties=species:S:1:pos:R:3 pbc="T T T"
Ba 0.0000 0.0000 0.0000
Zr 6.0104 6.0104 6.0104
Al 3.0101 3.0101 3.0101
Al 5.0038 5.0038 3.0101
Al 5.0038 3.0101 5.0038
Al 3.0101 5.0038 5.0038
```

Energy of formation (eV/f.u.): -0.79


Entry 2:
DFT (PBE) results for a relaxed structure of Ce6Ga2Sb.

Cell and atoms, written as extended XYZ:
```
9
Lattice="8.8750 0.0000 0.0000 -4.4375 7.6860 0.0000 0.0000 0.0000 3.0898" Properties=species:S:1:pos:R:3 pbc="T T T"
Ce -1.5261 2.6432 0.0000
Ce -2.9114 5.0427 0.0000
Ce 3.0521 0.0000 0.0000
Ce 1.5261 2.6432 0.0000
Ce 5.8228 0.0000 0.0000
Ce 2.9114 5.0427 0.0000
Ga 0.0000 5.1240 1.5449
Ga 4.4375 2.5620 1.5449
Sb 0.0000 0.0000 1.5449
```

Formation energy (no corrections) (kJ/mol of atoms): -29